PuNbTcOs, optimized geometry, DFT PBE; electronic total energy = -46.15 eV per cell; total moment = 4.3 μB/f.u.; calculated formation energy = -38 meV/atom; space group = No. 216
1.0
4.6356 0.0000 0.0000
2.3178 4.0146 0.0000
2.3178 1.3382 3.7850
Tc Nb Pu Os
1 1 1 1
direct
0.7500 0.7500 0.7500
0.0000 0.0000 0.0000
0.5000 0.5000 0.5000
0.2500 0.2500 0.2500

SnSb2H2, optimized geometry, DFT PBE; electronic total energy = -16.62 eV per cell; energy above the lowest structure with this stoichiometry = 189 meV/atom; total moment = 0.0 μB/f.u.; space group = No. 139
1.0
-1.8007 1.1242 -3.1439
-0.8716 -3.6064 -0.7903
-6.5677 -0.6775 1.2309
H Sn Sb
2 1 2
direct
0.2500 0.7500 0.5000
0.7500 0.2500 0.5000
0.0000 0.0000 0.0000
0.3569 0.3569 0.2862
0.6431 0.6431 0.7138

YGaPbS2, optimized geometry, DFT PBE; electronic total energy = -21.31 eV per cell; energy relative to the elements, uncorrected = 29 meV per atom; total moment = 0.0 μB/f.u.; space group = No. 123
1.0
-3.4249 -2.8481 1.7773
3.8740 -3.2308 2.2881
-0.1399 2.6578 3.9896
Ga S Pb Y
1 2 1 1
direct
0.0000 0.0000 0.0000
0.0000 0.0000 0.5000
0.5000 0.0000 0.0000
0.5000 0.5000 0.5000
0.0000 0.5000 0.0000

TaBiSN2, optimized geometry, DFT PBE; electronic total energy = -27.07 eV per cell; energy relative to the elements, uncorrected = 1888 meV per atom; energy above the lowest structure with this stoichiometry = 1841 meV/atom; total moment = 1.5 μB/f.u.; space group = No. 123
1.0
-3.7383 -1.9492 -0.0441
1.9486 -3.7384 0.0523
-0.0770 0.0316 5.1305
Bi N S Ta
1 2 1 1
direct
0.0000 0.0000 0.0000
0.0000 0.5000 0.0000
0.5000 0.0000 0.0000
0.0000 0.0000 0.5000
0.5000 0.5000 0.5000

Which of these has the highest electronic total energy? SnSb2H2

The lowest electronic total energy belongs to which entry? PuNbTcOs

What is the formula in the first record? PuNbTcOs